# 1
{
  "formula": "SrRe2Ag",
  "functional": "PBE-GGA",
  "state": "relaxed",
  "lattice_angstrom": [[4.4270, 0.0122, -0.0143], [3.2985, 2.9526, -0.0143], [0.9706, 0.3725, 6.8990]],
  "species": ["Ag", "Re", "Re", "Sr"],
  "fractional_positions": [[0.2666, 0.2666, 0.1910], [0.0045, 0.0045, 0.9538], [0.7288, 0.7288, 0.8390], [0.5001, 0.5001, 0.5162]],
  "dft_energy_ev_per_atom": -6.6968,
  "polymorph_energy_mev_per_atom": 225,
  "spacegroup": "Cm",
  "e_form_mev_per_atom": 661
}

# 2
{
  "formula": "Sr2ReAg",
  "functional": "PBE-GGA",
  "state": "relaxed",
  "lattice_angstrom": [[6.1810, 0.0065, -0.0019], [5.3967, 3.0134, -0.0019], [1.5377, 0.4011, 5.5376]],
  "species": ["Ag", "Re", "Sr", "Sr"],
  "fractional_positions": [[0.5400, 0.5400, 0.5236], [0.2171, 0.2171, 0.2137], [0.9685, 0.9685, 0.0739], [0.7745, 0.7745, 0.6889]],
  "dft_energy_ev_per_atom": -3.9943,
  "polymorph_energy_mev_per_atom": 0,
  "spacegroup": "Cm",
  "e_form_mev_per_atom": 671
}

# 3
{
  "formula": "SrReAg",
  "functional": "PBE-GGA",
  "state": "relaxed",
  "lattice_angstrom": [[-1.4814, -4.4440, -6.0150], [-1.3459, -6.9607, -2.8036], [-0.5882, 5.9707, 4.7040]],
  "species": ["Ag", "Re", "Sr"],
  "fractional_positions": [[0.9847, 0.9847, 0.0000], [0.3436, 0.3436, 0.0000], [0.6717, 0.6717, 0.0000]],
  "dft_energy_ev_per_atom": -4.7864,
  "polymorph_energy_mev_per_atom": 0,
  "spacegroup": "I4mm",
  "e_form_mev_per_atom": 874
}

# 4
{
  "formula": "SrRe2Ag",
  "functional": "PBE-GGA",
  "state": "relaxed",
  "lattice_angstrom": [[-10.0357, 3.1090, -1.2450], [-10.3484, 1.8012, 1.2639], [-9.4959, 4.5155, 1.1702]],
  "species": ["Ag", "Re", "Re", "Sr"],
  "fractional_positions": [[0.7500, 0.7500, 0.7500], [0.0070, 0.0070, 0.0070], [0.4930, 0.4930, 0.4930], [0.2500, 0.2500, 0.2500]],
  "dft_energy_ev_per_atom": -6.2017,
  "polymorph_energy_mev_per_atom": 720,
  "spacegroup": "R-3m",
  "e_form_mev_per_atom": 1156
}

# 5
{
  "formula": "Sr2ReAg",
  "functional": "PBE-GGA",
  "state": "relaxed",
  "lattice_angstrom": [[-4.6566, 3.2350, -0.9594], [-0.4902, -2.2744, -5.2590], [-1.8182, -2.2743, 1.1523]],
  "species": ["Ag", "Re", "Sr", "Sr"],
  "fractional_positions": [[0.5000, 0.0000, 0.5000], [0.0000, 0.5000, 0.5000], [0.0000, 0.0000, 0.0000], [0.5000, 0.5000, 0.0000]],
  "dft_energy_ev_per_atom": -3.9462,
  "polymorph_energy_mev_per_atom": 48,
  "spacegroup": "Cmmm",
  "e_form_mev_per_atom": 720
}

# 6
{
  "formula": "Sr2ReAg",
  "functional": "PBE-GGA",
  "state": "relaxed",
  "lattice_angstrom": [[-3.4300, 1.1618, 0.1516], [-1.1612, -3.4334, 0.0319], [0.3817, -0.0457, 8.9887]],
  "species": ["Ag", "Re", "Sr", "Sr"],
  "fractional_positions": [[0.0000, 0.0000, 0.5658], [0.5000, 0.5000, 0.6835], [0.0000, 0.0000, 0.9199], [0.5000, 0.5000, 0.3309]],
  "dft_energy_ev_per_atom": -3.8991,
  "polymorph_energy_mev_per_atom": 95,
  "spacegroup": "P4mm",
  "e_form_mev_per_atom": 767
}

# 7
{
  "formula": "SrRe2Ag",
  "functional": "PBE-GGA",
  "state": "relaxed",
  "lattice_angstrom": [[-2.3611, -1.3793, 0.1587], [0.4781, 0.0896, 2.6955], [-4.9480, 8.5386, 0.5940]],
  "species": ["Ag", "Re", "Re", "Sr"],
  "fractional_positions": [[0.5000, 0.5000, 0.7500], [0.0000, 0.0000, 0.9766], [0.0000, 0.0000, 0.5234], [0.5000, 0.5000, 0.2500]],
  "dft_energy_ev_per_atom": -6.3154,
  "polymorph_energy_mev_per_atom": 606,
  "spacegroup": "Cmmm",
  "e_form_mev_per_atom": 1042
}

# 8
{
  "formula": "Sr2ReAg",
  "functional": "PBE-GGA",
  "state": "relaxed",
  "lattice_angstrom": [[-6.5816, 3.1121, -4.1597], [3.4658, -2.3712, -7.2575], [-3.0355, -2.4611, -5.4891]],
  "species": ["Re", "Re", "Ag", "Ag", "Sr", "Sr", "Sr", "Sr"],
  "fractional_positions": [[0.0000, 0.0000, 0.0000], [0.7500, 0.2500, 0.5000], [0.5000, 0.5000, 0.0000], [0.2500, 0.7500, 0.5000], [0.6267, 0.1250, 0.2500], [0.1233, 0.6250, 0.2500], [0.3750, 0.3733, 0.7500], [0.8750, 0.8767, 0.7500]],
  "dft_energy_ev_per_atom": -3.6004,
  "polymorph_energy_mev_per_atom": 394,
  "spacegroup": "I-42d",
  "e_form_mev_per_atom": 1065
}

# 9
{
  "formula": "SrRe2Ag",
  "functional": "PBE-GGA",
  "state": "relaxed",
  "lattice_angstrom": [[-1.1028, -1.9568, -4.8629], [1.1547, -2.4335, 0.7174], [-4.3706, -2.0945, 1.8340]],
  "species": ["Ag", "Re", "Re", "Sr"],
  "fractional_positions": [[0.5000, 0.7500, 0.7500], [0.0000, 0.9022, 0.0125], [0.0000, 0.5978, 0.4875], [0.5000, 0.2500, 0.2500]],
  "dft_energy_ev_per_atom": -6.4553,
  "polymorph_energy_mev_per_atom": 466,
  "spacegroup": "P2/m",
  "e_form_mev_per_atom": 902
}

# 10
{
  "formula": "Sr2ReAg",
  "functional": "PBE-GGA",
  "state": "relaxed",
  "lattice_angstrom": [[10.2739, 0.0361, 0.0213], [9.6734, 3.4611, 0.0213], [9.6734, 1.6960, 3.0172]],
  "species": ["Ag", "Re", "Sr", "Sr"],
  "fractional_positions": [[0.2500, 0.2500, 0.2500], [0.7500, 0.7500, 0.7500], [0.0052, 0.0052, 0.0052], [0.4948, 0.4948, 0.4948]],
  "dft_energy_ev_per_atom": -3.7587,
  "polymorph_energy_mev_per_atom": 236,
  "spacegroup": "R-3m",
  "e_form_mev_per_atom": 907
}

# 11
{
  "formula": "SrRe2Ag",
  "functional": "PBE-GGA",
  "state": "relaxed",
  "lattice_angstrom": [[-3.8032, 3.8249, 0.5865], [-1.7956, -0.2360, 5.1145], [4.6583, 0.8066, -2.6624]],
  "species": ["Ag", "Re", "Re", "Sr"],
  "fractional_positions": [[0.7680, 0.2680, 0.5000], [0.0404, 0.0404, 0.0000], [0.2063, 0.7063, 0.5000], [0.4853, 0.4853, 0.0000]],
  "dft_energy_ev_per_atom": -6.5118,
  "polymorph_energy_mev_per_atom": 410,
  "spacegroup": "Imm2",
  "e_form_mev_per_atom": 845
}

# 12
{
  "formula": "Sr3ReAg",
  "functional": "PBE-GGA",
  "state": "relaxed",
  "lattice_angstrom": [[5.7595, 0.0000, 0.0000], [0.0000, 5.7595, 0.0000], [0.0000, 0.0000, 5.7595]],
  "species": ["Re", "Ag", "Sr", "Sr", "Sr"],
  "fractional_positions": [[0.0000, 0.0000, 0.0000], [0.5000, 0.5000, 0.5000], [0.0000, 0.5000, 0.0000], [0.0000, 0.0000, 0.5000], [0.5000, 0.0000, 0.0000]],
  "dft_energy_ev_per_atom": -3.3106,
  "polymorph_energy_mev_per_atom": 0,
  "spacegroup": "Pm-3m",
  "e_form_mev_per_atom": 758
}